The following is a PBE with a Hubbard U calculation of In2WNO after structural relaxation, from Alexandria. Values from VASP.

Cell and atoms, written as Quantum ESPRESSO input:
```
&SYSTEM
  ibrav = 0, nat = 5, ntyp = 4
/
ATOMIC_SPECIES
In 114.82 In.upf
W 183.84 W.upf
N 14.01 N.upf
O 16.00 O.upf
CELL_PARAMETERS angstrom
5.597 0.000 0.000
0.000 5.597 0.000
0.000 0.000 3.820
ATOMIC_POSITIONS crystal
In 0.000 0.500 0.000
In 0.500 0.000 0.000
W 0.000 0.000 0.000
N 0.500 0.500 0.500
O 0.000 0.000 0.500
```

## Properties
Total magnetic moment, μB/cell: 2.93
E, eV per formula unit: -22.0
SG: P4/mmm, No. 123